PBE TmHfPbC, relaxed; energy above the most stable polymorph in this dataset = 37 meV per atom; symmetry = No. 164; V = 19.90 Å³/atom
1.0
3.467 0.000 0.000
-1.734 3.003 0.000
0.000 0.000 15.287
Tm Hf Pb C
2 2 2 2
direct
0.333 0.667 0.414 Tm
0.667 0.333 0.586 Tm
0.333 0.667 0.077 Hf
0.667 0.333 0.923 Hf
0.333 0.667 0.761 Pb
0.667 0.333 0.239 Pb
0.000 0.000 0.000 C
0.000 0.000 0.500 C